Record 1
! PBE Te2MoRuN, relaxed; values from VASP
&SYSTEM
  ibrav = 0, nat = 5, ntyp = 4
/
ATOMIC_SPECIES
Mo 95.94 Mo.upf
Ru 101.07 Ru.upf
Te 127.60 Te.upf
N 14.01 N.upf
CELL_PARAMETERS angstrom
5.3880 0.0000 0.0000
0.0000 5.3880 0.0000
0.0000 0.0000 3.6420
ATOMIC_POSITIONS crystal
Mo 0.5000 0.5000 0.5000
Ru 0.0000 0.0000 0.0000
Te 0.5000 0.0000 0.0000
Te 0.0000 0.5000 0.0000
N 0.0000 0.0000 0.5000
! Energy relative to the elements, uncorrected = 0.711 eV/atom

---

Record 2
! PBE TiMo2RuN, relaxed; values from VASP
&SYSTEM
  ibrav = 0, nat = 5, ntyp = 4
/
ATOMIC_SPECIES
Ru 101.07 Ru.upf
Ti 47.87 Ti.upf
Mo 95.94 Mo.upf
N 14.01 N.upf
CELL_PARAMETERS angstrom
-3.2474 2.0260 -1.4112
-2.3725 -1.8881 2.7487
0.7097 2.9991 2.6726
ATOMIC_POSITIONS crystal
Ru 0.5000 0.5000 0.5000
Ti 0.0000 0.5000 0.0000
Mo 0.0000 0.0000 0.5000
Mo 0.5000 0.0000 0.0000
N 0.0000 0.0000 0.0000
! Energy relative to the elements, uncorrected = -0.360 eV/atom

---

Record 3
! PBE TlMo2RuN, relaxed; values from VASP
&SYSTEM
  ibrav = 0, nat = 5, ntyp = 4
/
ATOMIC_SPECIES
N 14.01 N.upf
Tl 204.38 Tl.upf
Ru 101.07 Ru.upf
Mo 95.94 Mo.upf
CELL_PARAMETERS angstrom
-1.7320 0.9168 -4.5554
2.8145 -1.9094 -1.4544
-2.7119 -4.1472 0.1964
ATOMIC_POSITIONS crystal
N 0.0000 0.5000 0.0000
Tl 0.5000 0.5000 0.5000
Ru 0.0000 0.0000 0.0000
Mo 0.0000 0.0000 0.5000
Mo 0.5000 0.0000 0.0000
! Energy relative to the elements, uncorrected = 1.364 eV/atom

---

Record 4
! PBE V2MoRuN, relaxed; values from VASP
&SYSTEM
  ibrav = 0, nat = 5, ntyp = 4
/
ATOMIC_SPECIES
Mo 95.94 Mo.upf
V 50.94 V.upf
N 14.01 N.upf
Ru 101.07 Ru.upf
CELL_PARAMETERS angstrom
-3.4759 -0.8656 -1.6260
0.9623 -3.8142 -0.0266
-1.6278 -0.4366 3.7122
ATOMIC_POSITIONS crystal
Mo 0.0000 0.0000 0.5000
V 0.5000 0.0000 0.0000
V 0.0000 0.5000 0.0000
N 0.0000 0.0000 0.0000
Ru 0.5000 0.5000 0.5000
! Energy relative to the elements, uncorrected = -0.396 eV/atom

---

Record 5
! PBE Mo2RuWN, relaxed; values from VASP
&SYSTEM
  ibrav = 0, nat = 5, ntyp = 4
/
ATOMIC_SPECIES
Mo 95.94 Mo.upf
W 183.84 W.upf
Ru 101.07 Ru.upf
N 14.01 N.upf
CELL_PARAMETERS angstrom
-0.3273 3.8455 -1.3783
-3.3279 -1.0529 -2.1475
-2.3691 0.9477 3.2066
ATOMIC_POSITIONS crystal
Mo 0.5000 0.0000 0.0000
Mo 0.0000 0.5000 0.0000
W 0.0000 0.0000 0.5000
Ru 0.5000 0.5000 0.5000
N 0.0000 0.0000 0.0000
! Energy relative to the elements, uncorrected = -0.054 eV/atom

---

Record 6
! PBE MoSN2, relaxed; values from VASP
&SYSTEM
  ibrav = 0, nat = 4, ntyp = 3
/
ATOMIC_SPECIES
Mo 95.94 Mo.upf
S 32.06 S.upf
N 14.01 N.upf
CELL_PARAMETERS angstrom
1.6985 0.0000 6.2201
-0.8493 1.4710 6.2201
-0.8493 -1.4710 6.2201
ATOMIC_POSITIONS crystal
Mo 0.5000 0.5000 0.5000
S 0.0000 0.0000 0.0000
N 0.1003 0.1003 0.1003
N 0.8997 0.8997 0.8997
! Energy relative to the elements, uncorrected = 0.334 eV/atom

---

Record 7
! PBE Mo3SN, relaxed; values from VASP
&SYSTEM
  ibrav = 0, nat = 5, ntyp = 3
/
ATOMIC_SPECIES
N 14.01 N.upf
S 32.06 S.upf
Mo 95.94 Mo.upf
CELL_PARAMETERS angstrom
-3.8984 -0.9460 0.9762
-0.1758 -2.5893 -3.2109
1.3480 -3.0734 2.4046
ATOMIC_POSITIONS crystal
N 0.0000 0.0000 0.0000
S 0.5000 0.5000 0.5000
Mo 0.0000 0.0000 0.5000
Mo 0.0000 0.5000 0.0000
Mo 0.5000 0.0000 0.0000
! Energy relative to the elements, uncorrected = 0.266 eV/atom

---

Record 8
! PBE MoSN2, relaxed; values from VASP
&SYSTEM
  ibrav = 0, nat = 8, ntyp = 3
/
ATOMIC_SPECIES
N 14.01 N.upf
S 32.06 S.upf
Mo 95.94 Mo.upf
CELL_PARAMETERS angstrom
6.0369 0.0000 0.0000
0.0000 6.0369 0.0000
3.0184 3.0184 4.2836
ATOMIC_POSITIONS crystal
N 0.8750 0.1213 0.7500
N 0.8713 0.1250 0.2500
N 0.3750 0.1287 0.7500
N 0.8787 0.6250 0.2500
S 0.2500 0.7500 0.5000
S 0.5000 0.5000 0.0000
Mo 0.7500 0.2500 0.5000
Mo 0.0000 0.0000 0.0000
! Energy relative to the elements, uncorrected = 0.634 eV/atom

---

Record 9
! PBE Mo2S4N, relaxed; values from VASP
&SYSTEM
  ibrav = 0, nat = 7, ntyp = 3
/
ATOMIC_SPECIES
S 32.06 S.upf
Mo 95.94 Mo.upf
N 14.01 N.upf
CELL_PARAMETERS angstrom
4.9677 4.0722 2.5410
-6.3989 -1.2675 2.2726
2.8845 -6.1918 1.0287
ATOMIC_POSITIONS crystal
S 0.1301 0.3485 0.4786
S 0.3485 0.8699 0.2184
S 0.8699 0.6515 0.5214
S 0.6515 0.1301 0.7816
Mo 0.2500 0.7500 0.5000
Mo 0.7500 0.2500 0.5000
N 0.0000 0.0000 0.0000
! Energy relative to the elements, uncorrected = 0.365 eV/atom

---

Record 10
! PBE Mo2SN, relaxed; values from VASP
&SYSTEM
  ibrav = 0, nat = 4, ntyp = 3
/
ATOMIC_SPECIES
Mo 95.94 Mo.upf
N 14.01 N.upf
S 32.06 S.upf
CELL_PARAMETERS angstrom
1.4092 -0.6994 3.7509
-2.4861 0.3345 3.2018
-1.1688 -3.3290 2.0238
ATOMIC_POSITIONS crystal
Mo 0.7500 0.7500 0.7500
Mo 0.2500 0.2500 0.2500
N 0.0000 0.0000 0.0000
S 0.5000 0.5000 0.5000
! Energy relative to the elements, uncorrected = 0.299 eV/atom

---

Record 11
! PBE Mo2SN, relaxed; values from VASP
&SYSTEM
  ibrav = 0, nat = 8, ntyp = 3
/
ATOMIC_SPECIES
Mo 95.94 Mo.upf
N 14.01 N.upf
S 32.06 S.upf
CELL_PARAMETERS angstrom
-0.0906 -1.2364 4.9639
5.1142 0.0933 0.1165
2.4010 4.0621 3.6923
ATOMIC_POSITIONS crystal
Mo 0.1817 0.6250 0.2500
Mo 0.8750 0.8183 0.7500
Mo 0.3750 0.4317 0.7500
Mo 0.5683 0.1250 0.2500
N 0.5000 0.5000 0.0000
N 0.2500 0.7500 0.5000
S 0.0000 0.0000 0.0000
S 0.7500 0.2500 0.5000
! Energy relative to the elements, uncorrected = -0.010 eV/atom

---

Record 12
! PBE MoS2N2, relaxed; values from VASP
&SYSTEM
  ibrav = 0, nat = 5, ntyp = 3
/
ATOMIC_SPECIES
S 32.06 S.upf
N 14.01 N.upf
Mo 95.94 Mo.upf
CELL_PARAMETERS angstrom
-0.8564 -2.8608 -1.2335
0.5510 -2.7104 1.6701
-10.4444 -0.6134 5.0942
ATOMIC_POSITIONS crystal
S 0.7051 0.7051 0.8638
S 0.2949 0.2949 0.1362
N 0.5177 0.5177 0.4518
N 0.4823 0.4823 0.5482
Mo 0.0000 0.0000 0.0000
! Energy relative to the elements, uncorrected = -0.332 eV/atom